The following is a DFT calculation (PBE-GGA) of La6Sm2Pu after structural relaxation.

Calculated values
The calculation puts the size of the total moment at 12.0 Bohr magnetons per cell. The total energy is -104.471 eV for the cell shown. Its crystal system is monoclinic.

Lattice parameters (Å, degrees): 10.1759 10.1759 6.3456 93.20 93.20 73.73
With the nearest neighbours (Å) after each atom.
Fractional positions:
La  0.0251  0.2945  0.0652  2 Pu 3.41-3.52, 3 Sm 3.47-3.57, 3 La 3.49-3.76
La  0.1821  0.7022  0.5133  5 La 3.43-3.76, 2 Pu 3.44-3.49, 2 Sm 3.52-3.58
La  0.2945  0.0251  0.5652  2 Pu 3.41-3.52, 3 Sm 3.47-3.57, 3 La 3.49-3.76
La  0.2978  0.8179  0.9867  5 La 3.43-3.76, 2 Pu 3.44-3.49, 2 Sm 3.52-3.58
La  0.3165  0.4742  0.0795  1 Sm 3.36, 5 La 3.53-3.71
La  0.4742  0.3165  0.5795  1 Sm 3.36, 5 La 3.53-3.71
La  0.5258  0.6835  0.4205  1 Sm 3.36, 5 La 3.53-3.71
La  0.6835  0.5258  0.9205  1 Sm 3.36, 5 La 3.53-3.71
La  0.7022  0.1821  0.0133  5 La 3.43-3.76, 2 Pu 3.44-3.49, 2 Sm 3.52-3.58
La  0.7055  0.9749  0.4348  2 Pu 3.41-3.52, 3 Sm 3.47-3.57, 3 La 3.49-3.76
La  0.8179  0.2978  0.4867  5 La 3.43-3.76, 2 Pu 3.44-3.49, 2 Sm 3.52-3.58
La  0.9749  0.7055  0.9348  2 Pu 3.41-3.52, 3 Sm 3.47-3.57, 3 La 3.49-3.76
Sm  0.1325  0.3739  0.5901  1 Sm 3.36, 6 La 3.36-3.58
Sm  0.3739  0.1325  0.0901  1 Sm 3.36, 6 La 3.36-3.58
Sm  0.6261  0.8675  0.9099  1 Sm 3.36, 6 La 3.36-3.58
Sm  0.8675  0.6261  0.4099  1 Sm 3.36, 6 La 3.36-3.58
Pu  0.0088  0.9912  0.2500  2 Pu 3.18, 8 La 3.41-3.52
Pu  0.9912  0.0088  0.7500  2 Pu 3.18, 8 La 3.41-3.52



The following is a DFT calculation (PBE-GGA) of La10Sm4Pu after structural relaxation.

Calculated values
The calculation puts the size of the total moment at 5.7 Bohr magnetons per cell. The total energy is -78.093 eV for the cell shown. Its crystal system is tetragonal.

Lattice parameters (Å, degrees): 8.8043 8.8043 8.8043 110.41 110.41 107.62
With the nearest neighbours (Å) after each atom.
Fractional positions:
La  0.0389  0.9577  0.3158  5 La 3.28-3.42
La  0.0423  0.3582  0.0812  5 La 3.28-3.42
La  0.2500  0.7500  0.5000  4 Sm 3.24, 4 La 3.38
La  0.2769  0.9611  0.9188  5 La 3.28-3.42
La  0.3582  0.2769  0.3158  5 La 3.28-3.42
La  0.6418  0.7231  0.6842  5 La 3.28-3.42
La  0.7231  0.0389  0.0812  5 La 3.28-3.42
La  0.7500  0.2500  0.5000  4 Sm 3.24, 4 La 3.38
La  0.9577  0.6418  0.9188  5 La 3.28-3.42
La  0.9611  0.0423  0.6842  5 La 3.28-3.42
Sm  0.1864  0.4539  0.6403  1 Pu 3.19, 2 La 3.24
Sm  0.4539  0.8136  0.2675  1 Pu 3.19, 2 La 3.24
Sm  0.5461  0.1864  0.7325  1 Pu 3.19, 2 La 3.24
Sm  0.8136  0.5461  0.3597  1 Pu 3.19, 2 La 3.24
Pu  0.5000  0.5000  0.0000  4 Sm 3.19



| no. | calculated formation energy (eV per atom) |
| --- | --- |
| 1 | 0.122 |
| 2 | 0.293 |